The following is a DFT calculation (GGA-PBE) of crystalline NdZn2GaPd at its relaxed geometry.

Cell lengths 4.0224, 4.3298, 11.0118 Å; angles 90.00, 90.00, 90.00 degrees
With the nearest neighbours (Å) after each atom.
Space group Imm2 (No. 44)
Asymmetric unit:
Nd: 0.0000 0.0000 0.0000 [2 per cell]  4 Ga 3.21, 8 Zn 3.21-3.56, 4 Pd 3.37-3.54
Zn: 0.0000 0.0000 0.6149 [2 per cell]  1 Ga 2.51, 2 Zn 2.54, 2 Pd 2.60
Zn: 0.0000 0.5000 0.2563 [2 per cell]  2 Zn 2.54, 2 Ga 2.60
Ga: 0.0000 0.0000 0.3869 [2 per cell]  3 Zn 2.51-2.60, 2 Pd 2.54
Pd: 0.0000 0.5000 0.7460 [2 per cell]  2 Ga 2.54, 2 Zn 2.60

Properties
DFT formation energy, eV per atom: -0.525
E_tot, eV/atom: -3.632
N(E_F), states/eV per atom: 0.56

---

The following is a DFT calculation (GGA-PBE) of crystalline Nd2Zn2GaPd5 at its relaxed geometry.

Cell lengths 9.9035, 9.9035, 3.7330 Å; angles 90.00, 90.00, 90.00 degrees
With the nearest neighbours (Å) after each atom.
Space group P4/mbm (No. 127)
Asymmetric unit:
Nd: 0.1772 0.3228 0.0000 [4 per cell]  3 Zn 2.83-3.01, 2 Pd 3.11
Zn: 0.1210 0.6210 0.0000 [4 per cell]  6 Pd 2.52-2.63
Ga: 0.0000 0.0000 0.0000 [2 per cell]  8 Pd 2.80
Pd: 0.0000 0.5000 0.5000 [2 per cell]  4 Zn 2.52
Pd: 0.0604 0.7975 0.5000 [8 per cell]  2 Zn 2.63, 2 Ga 2.80

Properties
DFT formation energy, eV per atom: -0.646
E_tot, eV/atom: -4.753
N(E_F), states/eV per atom: 0.48

---

The following is a DFT calculation (GGA-PBE) of crystalline Nd2Zn4GaPd3 at its relaxed geometry.

Cell lengths 4.0420, 4.0420, 11.7750 Å; angles 90.00, 90.00, 90.00 degrees
With the nearest neighbours (Å) after each atom.
Space group P-4m2 (No. 115)
Asymmetric unit:
Nd: 0.0000 0.5000 0.2480 [2 per cell]  4 Pd 3.11, 4 Zn 3.16
Zn: 0.0000 0.0000 0.0000 [1 per cell]  4 Pd 2.63, 4 Zn 2.86
Zn: 0.0000 0.5000 0.6381 [2 per cell]  3 Pd 2.58-2.59, 2 Ga 2.59
Zn: 0.5000 0.5000 0.0000 [1 per cell]  4 Pd 2.63, 4 Zn 2.86
Ga: 0.0000 0.0000 0.5000 [1 per cell]  4 Zn 2.59, 4 Pd 2.86
Pd: 0.0000 0.5000 0.8568 [2 per cell]  5 Zn 2.58-2.63
Pd: 0.5000 0.5000 0.5000 [1 per cell]  4 Zn 2.59, 4 Ga 2.86

Properties
DFT formation energy, eV per atom: -0.570
E_tot, eV/atom: -3.893
N(E_F), states/eV per atom: 0.60

---

The following is a DFT calculation (GGA-PBE) of crystalline Nd2ZnGa4Pd3 at its relaxed geometry.

Cell lengths 4.2814, 4.2814, 10.6274 Å; angles 90.00, 90.00, 90.00 degrees
With the nearest neighbours (Å) after each atom.
Space group P-4m2 (No. 115)
Asymmetric unit:
Nd: 0.0000 0.5000 0.2474 [2 per cell]  6 Pd 3.27-3.43, 8 Ga 3.28-3.39, 2 Zn 3.43
Zn: 0.0000 0.0000 0.5000 [1 per cell]  4 Ga 2.57
Ga: 0.0000 0.0000 0.0000 [1 per cell]  4 Pd 2.56
Ga: 0.0000 0.5000 0.6335 [2 per cell]  3 Pd 2.49-2.57, 2 Zn 2.57
Ga: 0.5000 0.5000 0.0000 [1 per cell]  4 Pd 2.56
Pd: 0.0000 0.5000 0.8682 [2 per cell]  5 Ga 2.49-2.56
Pd: 0.5000 0.5000 0.5000 [1 per cell]  4 Ga 2.57

Properties
DFT formation energy, eV per atom: -0.724
E_tot, eV/atom: -4.573
N(E_F), states/eV per atom: 0.75

---

The following is a DFT calculation (GGA-PBE) of crystalline Nd3Zn2GaPd9 at its relaxed geometry.

Cell lengths 7.3233, 7.3233, 6.6988 Å; angles 90.00, 90.00, 120.00 degrees
With the nearest neighbours (Å) after each atom.
Space group P-3m1 (No. 164)
Asymmetric unit:
Nd: 0.0000 0.0000 0.0000 [1 per cell]  6 Pd 3.07, 2 Ga 3.35
Nd: 0.3333 0.6667 0.6690 [2 per cell]  6 Pd 3.06-3.09, 2 Zn 3.34-3.36
Zn: 0.3333 0.6667 0.1675 [2 per cell]  6 Pd 2.39-2.40
Ga: 0.0000 0.0000 0.5000 [1 per cell]  6 Pd 2.38
Pd: 0.0000 0.5000 0.0000 [3 per cell]  2 Zn 2.39
Pd: 0.1659 0.3318 0.3335 [6 per cell]  1 Ga 2.38, 1 Zn 2.40

Properties
DFT formation energy, eV per atom: -0.418
E_tot, eV/atom: -4.859
N(E_F), states/eV per atom: 0.51

---

The following is a DFT calculation (GGA-PBE) of crystalline NdZn3GaPd at its relaxed geometry.

Cell lengths 6.3804, 13.0609, 5.5719 Å; angles 90.00, 90.00, 90.00 degrees
With the nearest neighbours (Å) after each atom.
Space group Cmcm (No. 63)
Asymmetric unit:
Nd: 0.0000 0.2083 0.2500 [4 per cell]  2 Pd 2.86, 1 Ga 2.89
Zn: 0.0000 0.3608 0.7500 [4 per cell]  1 Pd 2.65, 3 Ga 2.74-2.93
Zn: 0.1944 0.0000 0.0000 [8 per cell]  1 Zn 2.48, 2 Ga 2.57
Ga: 0.0000 0.4293 0.2500 [4 per cell]  5 Zn 2.57-2.74
Pd: 0.0000 0.1577 0.7500 [4 per cell]  5 Zn 2.65-2.78, 2 Nd 2.86

Properties
DFT formation energy, eV per atom: -0.269
E_tot, eV/atom: -3.070
N(E_F), states/eV per atom: 0.29

---

The following is a DFT calculation (GGA-PBE) of crystalline Nd2ZnGa2Pd5 at its relaxed geometry.

Cell lengths 10.3884, 10.3884, 3.4289 Å; angles 90.00, 90.00, 90.00 degrees
With the nearest neighbours (Å) after each atom.
Space group P4/mbm (No. 127)
Asymmetric unit:
Nd: 0.1755 0.3245 0.0000 [4 per cell]  3 Ga 2.90-3.18, 6 Pd 3.10-3.22
Zn: 0.0000 0.0000 0.0000 [2 per cell]  8 Pd 2.74
Ga: 0.1270 0.6270 0.0000 [4 per cell]  6 Pd 2.53-2.61
Pd: 0.0000 0.5000 0.5000 [2 per cell]  4 Ga 2.53
Pd: 0.0539 0.8020 0.5000 [8 per cell]  2 Ga 2.61, 2 Zn 2.74

Properties
DFT formation energy, eV per atom: -0.652
E_tot, eV/atom: -4.935
N(E_F), states/eV per atom: 0.57

---

The following is a DFT calculation (GGA-PBE) of crystalline NdZnGa2Pd5 at its relaxed geometry.

Cell lengths 4.7471, 4.7471, 7.2958 Å; angles 90.00, 90.00, 90.00 degrees
With the nearest neighbours (Å) after each atom.
Space group P4/mmm (No. 123)
Asymmetric unit:
Nd: 0.0000 0.0000 0.0000 [1 per cell]  12 Pd 3.13-3.36
Zn: 0.0000 0.0000 0.5000 [1 per cell]  8 Pd 2.87
Ga: 0.5000 0.5000 0.3363 [2 per cell]  1 Ga 2.39, 5 Pd 2.41-2.45
Pd: 0.0000 0.5000 0.2793 [4 per cell]  2 Ga 2.41
Pd: 0.5000 0.5000 0.0000 [1 per cell]  2 Ga 2.45

Properties
DFT formation energy, eV per atom: -0.440
E_tot, eV/atom: -4.669
N(E_F), states/eV per atom: 0.56

---

The following is a DFT calculation (GGA-PBE) of crystalline NdZrGa5Pd2 at its relaxed geometry.

Cell lengths 4.8209, 4.8209, 7.6918 Å; angles 90.00, 90.00, 90.00 degrees
With the nearest neighbours (Å) after each atom.
Space group P4/mmm (No. 123)
Asymmetric unit:
Nd: 0.0000 0.0000 0.0000 [1 per cell]  12 Ga 3.22-3.41
Zr: 0.0000 0.0000 0.5000 [1 per cell]  8 Ga 2.96
Ga: 0.0000 0.5000 0.2767 [4 per cell]  2 Pd 2.44
Ga: 0.5000 0.5000 0.0000 [1 per cell]  2 Pd 2.53
Pd: 0.5000 0.5000 0.3290 [2 per cell]  5 Ga 2.44-2.53, 1 Pd 2.63

Properties
DFT formation energy, eV per atom: -0.371
E_tot, eV/atom: -4.686
N(E_F), states/eV per atom: 0.45

---

The following is a DFT calculation (GGA-PBE) of crystalline Nd2ZrGa4Pd3 at its relaxed geometry.

Cell lengths 4.2446, 4.2446, 11.3147 Å; angles 90.00, 90.00, 90.00 degrees
With the nearest neighbours (Å) after each atom.
Space group P-4m2 (No. 115)
Asymmetric unit:
Nd: 0.0000 0.5000 0.2416 [2 per cell]  8 Ga 3.22-3.46, 4 Pd 3.28
Zr: 0.0000 0.0000 0.5000 [1 per cell]  4 Ga 2.75, 4 Pd 3.00
Ga: 0.0000 0.0000 0.0000 [1 per cell]  4 Pd 2.55
Ga: 0.0000 0.5000 0.6542 [2 per cell]  3 Pd 2.50-2.75, 2 Zr 2.75
Ga: 0.5000 0.5000 0.0000 [1 per cell]  4 Pd 2.55
Pd: 0.0000 0.5000 0.8747 [2 per cell]  5 Ga 2.50-2.55
Pd: 0.5000 0.5000 0.5000 [1 per cell]  4 Ga 2.75, 4 Zr 3.00

Properties
DFT formation energy, eV per atom: -0.711
E_tot, eV/atom: -5.288
N(E_F), states/eV per atom: 0.60

---

The following is a DFT calculation (GGA-PBE) of crystalline PmNd2Ga4 at its relaxed geometry.

Cell lengths 4.2187, 4.3824, 18.8098 Å; angles 90.00, 90.00, 90.00 degrees
With the nearest neighbours (Å) after each atom.
Space group Immm (No. 71)
Asymmetric unit:
Pm: 0.0000 0.0000 0.0000 [2 per cell]  12 Ga 3.28-3.45
Nd: 0.0000 0.5000 0.3160 [4 per cell]  7 Ga 3.13-3.28
Ga: 0.0000 0.0000 0.4346 [4 per cell]  3 Ga 2.46-2.55
Ga: 0.0000 0.5000 0.1415 [4 per cell]  2 Ga 2.55

Properties
DFT formation energy, eV per atom: -0.633
E_tot, eV/atom: -4.403
N(E_F), states/eV per atom: 0.76

---

The following is a DFT calculation (GGA-PBE) of crystalline PmNd2Ga3 at its relaxed geometry.

Cell lengths 5.2119, 15.6517, 7.3730 Å; angles 90.00, 90.00, 90.00 degrees
With the nearest neighbours (Å) after each atom.
Space group Cmmm (No. 65)
Asymmetric unit:
Pm: 0.0000 0.1668 0.0000 [4 per cell]  8 Ga 3.18-3.19
Nd: 0.0000 0.1662 0.5000 [4 per cell]  8 Ga 3.20
Nd: 0.0000 0.5000 0.0000 [2 per cell]  8 Ga 3.18-3.19
Nd: 0.0000 0.5000 0.5000 [2 per cell]  8 Ga 3.20-3.21
Ga: 0.0000 0.0000 0.2479 [4 per cell]  6 Nd 3.18-3.20, 2 Pm 3.19
Ga: 0.0000 0.3327 0.2478 [8 per cell]  3 Pm 3.18, 5 Nd 3.19-3.21

Properties
DFT formation energy, eV per atom: -0.559
E_tot, eV/atom: -4.454
N(E_F), states/eV per atom: 0.45